# LiMnRu2

An optimized crystal structure of LiMnRu2 (GGA-PBE, Alexandria via LeMat-Bulk).

The structure belongs to space group C2/m (No. 12); the cell edges are 8.515, 2.677 and 4.705 Å and the angles 90.00°, 99.87° and 90.00°. Symmetry generates all atoms from Li at (0.000, 0.000, 0.000), Mn at (0.000, 0.500, 0.500) and Ru at (0.241, 0.000, 0.752).

For the distance to the lowest polymorph of the same formula, the calculation gives 49 meV/atom. The calculation puts the size of the total moment at 2.04 μB per formula unit. For the formation energy, the calculation gives 0.1687 eV per atom.

# LiMnRu2

An optimized crystal structure of LiMnRu2 (GGA-PBE, Alexandria via LeMat-Bulk).

The structure belongs to space group P4/mmm (No. 123); the cell edges are 2.943, 2.943 and 5.783 Å and the angles 90.00°, 90.00° and 90.00°. Symmetry generates all atoms from Li at (0.000, 0.000, 0.000), Mn at (0.000, 0.000, 0.500) and Ru at (0.500, 0.500, 0.245).

For the distance to the lowest polymorph of the same formula, the calculation gives 59 meV/atom. The calculation puts the size of the total moment at 1.71 μB per formula unit. For the formation energy, the calculation gives 0.1786 eV per atom.

# LiMnRu2

An optimized crystal structure of LiMnRu2 (GGA-PBE, Alexandria via LeMat-Bulk).

The structure belongs to space group R-3m (No. 166, hexagonal axes); the cell edges are 2.6571, 2.6571 and 26.1186 Å and the angles 90.00°, 90.00° and 120.00°. Symmetry generates all atoms from Li at (0.0000, 0.0000, 0.0000), Mn at (0.0000, 0.0000, 0.5000) and Ru at (0.0000, 0.0000, 0.2441).

For the distance to the lowest polymorph of the same formula, the calculation gives 0 meV/atom. The calculation puts the size of the total moment at 0.75 μB per formula unit. For the formation energy, the calculation gives 0.1192 eV per atom.

# LiMn2Ru2

An optimized crystal structure of LiMn2Ru2 (GGA-PBE, Alexandria via LeMat-Bulk).

The structure belongs to space group P4/mbm (No. 127); the cell edges are 7.265, 7.265 and 2.636 Å and the angles 90.00°, 90.00° and 90.00°. Symmetry generates all atoms from Li at (0.000, 0.000, 0.000), Mn at (0.162, 0.338, 0.500) and Ru at (0.133, 0.633, 0.000).

The calculation puts the size of the total moment at 2.66 μB per formula unit. For the formation energy, the calculation gives 0.2100 eV per atom.

# LiMn2Ru

An optimized crystal structure of LiMn2Ru (GGA-PBE, Alexandria via LeMat-Bulk).

The structure belongs to space group Cmm2 (No. 35); the cell edges are 2.908, 4.256 and 8.489 Å and the angles 90.00°, 90.00° and 90.00°. Symmetry generates all atoms from Li at (0.000, 0.000, 0.000), Mn at (0.000, 0.000, 0.492), Mn at (0.000, 0.500, 0.272) and Ru at (0.000, 0.500, 0.736).

The calculation puts the size of the total moment at 0.23 μB per formula unit. For the formation energy, the calculation gives 0.2692 eV per atom.

# LiMn4Ru

An optimized crystal structure of LiMn4Ru (GGA-PBE, Alexandria via LeMat-Bulk).

The structure belongs to space group F-43m (No. 216); the cell edges are 6.562, 6.562 and 6.562 Å and the angles 90.00°, 90.00° and 90.00°. Symmetry generates all atoms from Li at (0.000, 0.000, 0.000), Mn at (0.126, 0.126, 0.626) and Ru at (0.250, 0.250, 0.250).

The calculation puts the size of the total moment at 0.00 μB per formula unit. For the formation energy, the calculation gives 0.2093 eV per atom.